Compound: Dy2GaSi
Source: the Alexandria database
Functional: PBE
Structure: optimized geometry

As for the total energy: -19.8 eV for the cell shown. The density of states at the Fermi level is 2.06 states/eV per cell. As for the energy relative to the elements, uncorrected: -0.53 eV/atom.

It has space group P4/mmm (No. 123), with a = 4.727 Å, b = 4.727 Å, c = 3.952 Å, α = 90.00°, β = 90.00° and γ = 90.00°. The inequivalent atoms are Dy at (0.000, 0.500, 0.000), Ga at (0.000, 0.000, 0.500) and Si at (0.500, 0.500, 0.500).

***

Compound: Dy5Ga2Si
Source: the Alexandria database
Functional: PBE
Structure: optimized geometry

As for the total energy: -154.8 eV for the cell shown. The density of states at the Fermi level is 26.85 states/eV per cell. As for the energy relative to the elements, uncorrected: -0.53 eV/atom.

It has space group I4/mcm (No. 140), with a = 7.670 Å, b = 7.670 Å, c = 13.589 Å, α = 90.00°, β = 90.00° and γ = 90.00°. The inequivalent atoms are Dy at (0.000, 0.000, 0.000), Dy at (0.168, 0.332, 0.149), Ga at (0.124, 0.376, 0.500) and Si at (0.000, 0.000, 0.250).

***

Question: Number 1 is which compound?
Answer: Dy2GaSi

***

Question: Look up the energy relative to the elements, uncorrected of the second one.
Answer: -0.53 eV/atom

***

Question: density of states at the Fermi level of number 2 (Dy5Ga2Si)?
Answer: 26.85 states/eV per cell